Record 1
The following is a PBE calculation of a relaxed structure of Na2Ag3PS6, from Alexandria via LeMat-Bulk.

Output
ρ, g cm⁻³: 4.0
Formation energy from raw total energies, eV/f.u.: -2.97
Crystal system: monoclinic
Energy, eV per formula unit: -44.3

Structure (POSCAR):
```
Na2Ag3PS6
1.0
3.4407 -6.1654 0.0000
3.4407 6.1654 0.0000
-2.5610 0.0000 5.7309
Na Ag P S
2 3 1 6
Direct
0.1789 0.8211 0.0000
0.8211 0.1789 0.0000
0.0000 0.0000 0.5000
0.3651 0.6349 0.5000
0.6349 0.3651 0.5000
0.5000 0.5000 0.0000
0.1609 0.4245 0.7495
0.2710 0.2710 0.1655
0.4245 0.1609 0.7495
0.5755 0.8391 0.2505
0.7290 0.7290 0.8345
0.8391 0.5755 0.2505
```

***

Record 2
The following is a PBE calculation of a relaxed structure of Tc4AgRu, from Alexandria via LeMat-Bulk.

Output
ρ, g cm⁻³: 10.6
Energy of formation, eV/f.u.: 2.93
Crystal system: cubic
Energy, eV per formula unit: -50.7

Structure (POSCAR):
```
Tc4AgRu
1.0
0.0000 3.6074 3.6074
3.6074 0.0000 3.6074
3.6074 3.6074 0.0000
Tc Ag Ru
4 1 1
Direct
0.1243 0.1243 0.1243
0.1243 0.1243 0.6272
0.1243 0.6272 0.1243
0.6272 0.1243 0.1243
0.7500 0.7500 0.7500
0.5000 0.5000 0.5000
```

***

Record 3
The following is a PBE calculation of a relaxed structure of Nb2MoSe2, from Alexandria via LeMat-Bulk.

Output
ρ, g cm⁻³: 8.6
Polymorph energy (0 for the lowest one), kJ/mol of atoms: 0.0
Formation energy from raw total energies, eV/f.u.: -0.26
Crystal system: tetragonal
Energy, eV per formula unit: -38.2

Structure (POSCAR):
```
Nb2MoSe2
1.0
7.0585 0.0000 0.0000
0.0000 7.0585 0.0000
0.0000 0.0000 3.4105
Nb Mo Se
4 2 4
Direct
0.1472 0.3528 0.0000
0.3528 0.8528 0.0000
0.6472 0.1472 0.0000
0.8528 0.6472 0.0000
0.0000 0.0000 0.5000
0.5000 0.5000 0.5000
0.1549 0.6549 0.5000
0.3451 0.1549 0.5000
0.6549 0.8451 0.5000
0.8451 0.3451 0.5000
```

***

Record 4
The following is a PBE calculation of a relaxed structure of Mn2Mo2Pt, from Alexandria via LeMat-Bulk.

Output
ρ, g cm⁻³: 11.9
Energy of formation, eV/f.u.: 0.25
Crystal system: tetragonal
Energy, eV per formula unit: -45.8

Structure (POSCAR):
```
Mn2Mo2Pt
1.0
6.9408 0.0000 0.0000
0.0000 6.9408 0.0000
0.0000 0.0000 2.8899
Mn Mo Pt
4 4 2
Direct
0.1336 0.3664 0.0000
0.3664 0.8664 0.0000
0.6336 0.1336 0.0000
0.8664 0.6336 0.0000
0.1659 0.6659 0.5000
0.3341 0.1659 0.5000
0.6659 0.8341 0.5000
0.8341 0.3341 0.5000
0.0000 0.0000 0.0000
0.5000 0.5000 0.0000
```

***

Record 5
The following is a PBE calculation of a relaxed structure of ErMnSb3, from Alexandria via LeMat-Bulk.

Output
ρ, g cm⁻³: 8.3
Formation energy from raw total energies, eV/f.u.: -2.22
Crystal system: orthorhombic
Energy, eV per formula unit: -28.3

Structure (POSCAR):
```
ErMnSb3
1.0
12.6080 0.0000 0.0000
0.0000 6.2197 0.0000
0.0000 0.0000 6.0109
Er Mn Sb
4 4 12
Direct
0.1886 0.0040 0.2500
0.1886 0.4960 0.7500
0.8114 0.5040 0.2500
0.8114 0.9960 0.7500
0.4025 0.7500 0.0000
0.4025 0.7500 0.5000
0.5975 0.2500 0.0000
0.5975 0.2500 0.5000
0.0023 0.7500 0.0000
0.0023 0.7500 0.5000
0.2691 0.0005 0.7500
0.2691 0.4995 0.2500
0.4349 0.1041 0.2500
0.4349 0.3959 0.7500
0.5651 0.6041 0.2500
0.5651 0.8959 0.7500
0.7309 0.9995 0.2500
0.7309 0.5005 0.7500
0.9977 0.2500 0.0000
0.9977 0.2500 0.5000
```

***

Record 6
The following is a PBE calculation of a relaxed structure of HgSeBr, from Alexandria via LeMat-Bulk.

Output
ρ, g cm⁻³: 5.8
Polymorph energy (0 for the lowest one), kJ/mol of atoms: 5.1
Formation energy from raw total energies, eV/f.u.: -0.69
Crystal system: triclinic
Energy, eV per formula unit: -6.2

Structure (POSCAR):
```
HgSeBr
1.0
4.3503 0.0000 0.0000
-0.0576 5.5183 0.0000
-1.4688 -1.8601 8.5729
Hg Se Br
2 2 2
Direct
0.2476 0.0036 0.2077
0.7524 0.9964 0.7923
0.1534 0.3263 0.9633
0.8466 0.6737 0.0367
0.2654 0.7717 0.6180
0.7346 0.2283 0.3820
```

***

Number 1: volume 20.26 Å³ per atom. Number 2: volume 15.65 Å³ per atom. Number 3: volume 16.99 Å³ per atom. Number 4: volume 13.92 Å³ per atom. Number 5: volume 23.57 Å³ per atom. Number 6: volume 34.30 Å³ per atom.